Record 1
La4Co3O10 | PBEsol | relaxed

**Fermi-level density of states**: 10.7 states/eV/f.u.
**Formation energy from raw total energies**: -2452 meV per atom
**Raw total energy**: -8.163 eV per atom
**SG**: I4/mmm

a = 3.784 Å, b = 3.784 Å, c = 13.967 Å
α = 97.79°, β = 97.79°, γ = 90.00°
Each line ends with the local moment (μB).
Positions (direct):
1 Co 0.141 0.141 0.282  0.79
2 Co 0.000 0.000 0.000  1.40
3 Co 0.859 0.859 0.718  0.79
4 La 0.302 0.302 0.604  0.00
5 La 0.568 0.568 0.135  0.00
6 La 0.432 0.432 0.865  0.00
7 La 0.698 0.698 0.396  0.00
8 O 0.639 0.139 0.278  0.01
9 O 0.929 0.929 0.857  0.00
10 O 0.861 0.361 0.722  0.01
11 O 0.500 0.000 0.000  0.04
12 O 0.139 0.639 0.278  0.01
13 O 0.361 0.861 0.722  0.01
14 O 0.000 0.500 0.000  0.04
15 O 0.071 0.071 0.143  0.00
16 O 0.785 0.785 0.570  0.02
17 O 0.215 0.215 0.430  0.02



Record 2
HgTe4Pb | PBEsol | relaxed

**Fermi-level density of states**: 4.6 states/eV/f.u.
**Formation energy from raw total energies**: 215 meV per atom
**Raw total energy**: -2.897 eV per atom
**SG**: F-43m

a = 6.348 Å, b = 6.348 Å, c = 6.348 Å
α = 60.00°, β = 60.00°, γ = 60.00°
Positions (direct):
1 Hg 0.750 0.750 0.750
2 Te 0.375 0.375 0.876
3 Te 0.876 0.375 0.375
4 Te 0.375 0.375 0.375
5 Te 0.375 0.876 0.375
6 Pb 0.000 0.000 0.000



Record 3
Fe3HW | PBEsol | relaxed

**Fermi-level density of states**: 4.5 states/eV/f.u.
**Raw total energy**: -8.873 eV per atom
**SG**: Pm-3m

a = 3.594 Å, b = 3.594 Å, c = 3.594 Å
α = 90.00°, β = 90.00°, γ = 90.00°
Positions (direct):
1 Fe 0.000 0.500 0.000
2 Fe 0.000 0.000 0.500
3 Fe 0.500 0.000 0.000
4 W 0.500 0.500 0.500
5 H 0.000 0.000 0.000



Record 4
TiMnP2 | PBEsol | relaxed

**Fermi-level density of states**: 4.0 states/eV/f.u.
**DFT formation energy**: -0.501 eV per atom
**Raw total energy**: -7.917 eV per atom
**SG**: Fm-3m

a = 4.116 Å, b = 4.116 Å, c = 4.116 Å
α = 60.00°, β = 60.00°, γ = 60.00°
Each line ends with the local moment (μB).
Positions (direct):
1 P 0.250 0.250 0.250  -0.05
2 P 0.750 0.750 0.750  -0.05
3 Mn 0.500 0.500 0.500  1.13
4 Ti 0.000 0.000 0.000  0.28



Record 5
YAuCl2 | PBEsol | relaxed

**Formation energy from raw total energies**: -1117 meV per atom
**Energy above the most stable polymorph in this dataset**: 103 meV per atom
**Raw total energy**: -4.807 eV per atom
**SG**: I-4m2

a = 4.514 Å, b = 5.100 Å, c = 4.514 Å
α = 63.73°, β = 90.00°, γ = 116.27°
Positions (direct):
1 Cl 0.250 0.500 0.250
2 Cl 0.000 0.000 0.000
3 Au 0.750 0.500 0.750
4 Y 0.500 0.000 0.500



Record 6
CdAu | PBEsol | relaxed

**Fermi-level density of states**: 0.5 states/eV/f.u.
**DFT formation energy**: -0.175 eV per atom
**Raw total energy**: -2.735 eV per atom
**SG**: I4_1/amd

a = 4.087 Å, b = 4.087 Å, c = 5.208 Å
α = 113.10°, β = 113.10°, γ = 90.00°
Positions (direct):
1 Cd 0.250 0.750 0.500
2 Cd 0.000 0.000 0.000
3 Au 0.500 0.500 0.000
4 Au 0.750 0.250 0.500